Entry 1:
# CeLuSe2 PBE optimized geometry
data_CeLuSe2
_chemical_formula_sum 'Ce3 Lu3 Se6'
_cell_length_a 4.0312
_cell_length_b 4.0312
_cell_length_c 20.7142
_cell_angle_alpha 90.00
_cell_angle_beta 90.00
_cell_angle_gamma 120.00
_symmetry_space_group_name_H-M 'R -3 m'
_symmetry_Int_Tables_number 166
_symmetry_space_group_name_Hall '-R 3 2"'
loop_
_atom_site_label
_atom_site_fract_x
_atom_site_fract_y
_atom_site_fract_z
_atom_site_occupancy
Ce1 0.0000 0.0000 0.0000 1
Lu1 0.0000 0.0000 0.5000 1
Se1 0.0000 0.0000 0.2430 1
# volume: 24.29 A^3/atom
# DOS(E_F): 18.09 states/eV/cell
# ΔE_f (raw): -1731 meV/atom

***

Entry 2:
# Bi2Ru2Rh PBE optimized geometry
data_Bi2Ru2Rh
_chemical_formula_sum 'Bi4 Ru4 Rh2'
_cell_length_a 3.4898
_cell_length_b 3.4898
_cell_length_c 17.0059
_cell_angle_alpha 90.00
_cell_angle_beta 90.00
_cell_angle_gamma 90.00
_symmetry_space_group_name_H-M 'I 4/m m m'
_symmetry_Int_Tables_number 139
_symmetry_space_group_name_Hall '-I 4 2'
loop_
_atom_site_label
_atom_site_fract_x
_atom_site_fract_y
_atom_site_fract_z
_atom_site_occupancy
Bi1 0.0000 0.0000 0.1003 1
Ru1 0.0000 0.5000 0.2500 1
Rh1 0.0000 0.0000 0.5000 1
# energy of formation from the pure elements: 0.5003 eV/atom
# volume: 20.71 A^3/atom
# DOS(E_F): 10.37 states/eV/cell

***

Number 1: total moment 3.24 Bohr magnetons per cell. Number 2: total moment 0.00 Bohr magnetons per cell.